(1)
ClF5 after structural relaxation, computed with PBE.

The structure belongs to space group Cmc2_1 (No. 36); the cell edges are 6.315, 7.333 and 7.653 Å and the angles 90.00°, 90.00° and 90.00°. The asymmetric unit holds Cl at (0.000, 0.179, 0.000), F at (0.000, 0.024, 0.828), F at (0.000, 0.338, 0.851), F at (0.000, 0.349, 0.152) and F at (0.229, 0.312, 0.493).

Its uncorrected formation energy is -614.9 meV/atom.



(2)
LaAl2Ag2 after structural relaxation, computed with PBE.

The structure belongs to space group I4/mmm (No. 139); the cell edges are 4.539, 4.539 and 10.557 Å and the angles 90.00°, 90.00° and 90.00°. The asymmetric unit holds La at (0.000, 0.000, 0.000), Al at (0.000, 0.000, 0.379) and Ag at (0.000, 0.500, 0.250).

For the calculated total energy, the calculation gives -3.979 eV per atom.



(3)
Y3Cd2 after structural relaxation, computed with PBE.

The structure belongs to space group R-3m (No. 166, hexagonal axes); the cell edges are 3.6405, 3.6405 and 38.2971 Å and the angles 90.00°, 90.00° and 120.00°. The asymmetric unit holds Y at (0.0000, 0.0000, 0.0000), Y at (0.0000, 0.0000, 0.2044) and Cd at (0.0000, 0.0000, 0.3974).

For the calculated total energy, the calculation gives -4.384 eV per atom.



Q: Number 1 is which compound?
A: ClF5